[1]
{
  "formula": "Sm5Dy4Y",
  "functional": "PBE",
  "state": "relaxed",
  "cell": [[-1.0256, -1.7984, -2.9070], [10.2278, -3.1376, -1.6668], [-2.9583, -5.7085, 6.7452]],
  "species": ["Sm", "Sm", "Sm", "Sm", "Sm", "Y", "Dy", "Dy", "Dy", "Dy"],
  "frac_coords": [[0.8321, 0.4739, 0.6615], [0.1679, 0.5261, 0.3385], [0.1593, 0.9087, 0.3209], [0.5000, 0.5000, 0.0000], [0.8407, 0.0913, 0.6791], [0.5000, 0.0000, 0.0000], [0.6750, 0.2198, 0.3545], [0.0271, 0.2599, 0.0549], [0.3250, 0.7802, 0.6455], [0.9729, 0.7401, 0.9451]],
  "m_tot_mub_per_fu": 0.00,
  "relative_energy_ev_per_atom": 0.000,
  "sg": "No. 2",
  "dft_energy_ev_per_atom": -4.631
}


[2]
{
  "formula": "Pm2Sn12Rh7",
  "functional": "PBE",
  "state": "relaxed",
  "cell": [[4.2284, 0.0000, 0.0000], [0.0000, 9.6077, -5.5470], [0.0000, 0.0000, 11.0940]],
  "species": ["Rh", "Rh", "Rh", "Rh", "Rh", "Rh", "Rh", "Sn", "Sn", "Sn", "Sn", "Sn", "Sn", "Sn", "Sn", "Sn", "Sn", "Sn", "Sn", "Pm", "Pm"],
  "frac_coords": [[0.5000, 0.0000, 0.0000], [0.2286, 0.7065, 0.5914], [0.2286, 0.8849, 0.2935], [0.7714, 0.1151, 0.7065], [0.2286, 0.4086, 0.1151], [0.7714, 0.2935, 0.4086], [0.7714, 0.5914, 0.8849], [0.2564, 0.9331, 0.5544], [0.2529, 0.1454, 0.8860], [0.7471, 0.8546, 0.1140], [0.7436, 0.5544, 0.6213], [0.7436, 0.3787, 0.9331], [0.2529, 0.7406, 0.8546], [0.7471, 0.2594, 0.1454], [0.7471, 0.8860, 0.7406], [0.2529, 0.1140, 0.2594], [0.7436, 0.0669, 0.4456], [0.2564, 0.6213, 0.0669], [0.2564, 0.4456, 0.3787], [0.2571, 0.3333, 0.6667], [0.7429, 0.6667, 0.3333]],
  "m_tot_mub_per_fu": 0.00,
  "sg": "No. 147",
  "dft_energy_ev_per_atom": -5.658
}


For reference, calculated formation energy by record: 0.215 -0.467 eV/atom.